1.
Material: TiCrSb2Te
Method: DFT, SCAN
State: PBEsol geometry

Cell: 5.191 5.191 5.180 Å, 90.00 90.00 90.00°
Element x y z (fractional)
Ti  0.000  0.000  0.000
Cr  0.500  0.500  0.500
Sb  0.000  0.500  0.000
Sb  0.500  0.000  0.000
Te  0.000  0.000  0.500

Calculated values
* formation energy without anion corrections: 1.80 eV per formula unit

2.
Material: ZnCrSb2Te
Method: DFT, SCAN
State: PBEsol geometry

Cell: 5.069 5.069 5.291 Å, 90.00 90.00 90.00°
Element x y z (fractional)
Zn  0.000  0.000  0.000
Cr  0.500  0.500  0.500
Sb  0.000  0.500  0.000
Sb  0.500  0.000  0.000
Te  0.000  0.000  0.500

Calculated values
* ΔE to the lowest computed polymorph: 190 meV per atom
* formation energy without anion corrections: 3.51 eV per formula unit

3.
Material: ZnCrSb2Te
Method: DFT, SCAN
State: PBEsol geometry

Cell: 4.972 4.972 5.098 Å, 90.00 90.00 90.00°
Element x y z (fractional)
Zn  0.000  0.000  0.000
Cr  0.500  0.500  0.500
Sb  0.000  0.500  0.500
Sb  0.500  0.000  0.500
Te  0.500  0.500  0.000

Calculated values
* ΔE to the lowest computed polymorph: 0 meV per atom
* formation energy without anion corrections: 2.56 eV per formula unit

We obtain total magnetization values of 4.75; 4.47; 2.13 μB/f.u. for the records listed above, in that order.
We obtain V values of 139.6; 135.9; 126.0 Å³/f.u. for the records listed above, in that order.